This record from Alexandria via LeMat-Bulk describes a relaxed ThCuNi2 crystal. The functional is GGA-PBE.

Summary:
ΔE_f ... -135 kJ/mol of formula units
Energy ... -6.119 eV per atom
Crystal system ... trigonal
Space-group type ... R-3m, No. 166

```
4
Lattice="2.0707 1.1955 4.5296 -2.0707 1.1955 4.5296 0.0000 -2.3911 4.5296" Properties=species:S:1:pos:R:3 pbc="T T T"
Th 0.0000 0.0000 0.0000
Cu 0.0000 0.0000 6.7944
Ni 0.0000 0.0000 2.7899
Ni 0.0000 0.0000 10.7988
```